No. 1
Entry from Alexandria via LeMat-Bulk: CsGaBAs2 after structural relaxation (GGA-PBE).

The structure belongs to space group P4/mmm (No. 123); the cell edges are 4.589, 4.589 and 5.787 Å and the angles 90.00°, 90.00° and 90.00°. The asymmetric unit holds Cs at (0.000, 0.000, 0.000), Ga at (0.500, 0.500, 0.000), B at (0.000, 0.000, 0.500) and As at (0.000, 0.500, 0.500).

The magnetization is 0.00 Bohr magnetons per cell. As for the formation energy: 3.83 eV/f.u.



No. 2
Entry from Alexandria via LeMat-Bulk: Cs2HfBAs after structural relaxation (GGA-PBE).

The structure belongs to space group P4/mmm (No. 123); the cell edges are 6.583, 6.583 and 4.418 Å and the angles 90.00°, 90.00° and 90.00°. The asymmetric unit holds Cs at (0.000, 0.500, 0.000), Hf at (0.000, 0.000, 0.500), B at (0.000, 0.000, 0.000) and As at (0.500, 0.500, 0.500).

The magnetization is 0.00 Bohr magnetons per cell. As for the formation energy: 5.32 eV/f.u.



No. 3
Entry from Alexandria via LeMat-Bulk: CsInB2As after structural relaxation (GGA-PBE).

The structure belongs to space group P4/mmm (No. 123); the cell edges are 5.014, 5.014 and 6.274 Å and the angles 90.00°, 90.00° and 90.00°. The asymmetric unit holds Cs at (0.000, 0.000, 0.000), In at (0.000, 0.000, 0.500), B at (0.000, 0.500, 0.000) and As at (0.500, 0.500, 0.500).

The magnetization is 0.00 Bohr magnetons per cell. As for the formation energy: 13.18 eV/f.u.



No. 4
Entry from Alexandria via LeMat-Bulk: Cs2B2AsO6 after structural relaxation (GGA-PBE).

The structure belongs to space group C2/m (No. 12); the cell edges are 8.976, 5.178 and 8.665 Å and the angles 90.00°, 110.04° and 90.00°. The asymmetric unit holds Cs at (0.223, 0.000, 0.172), B at (0.121, 0.500, 0.366), As at (0.000, 0.000, 0.500), O at (0.038, 0.268, 0.350) and O at (0.229, 0.000, 0.648).

The magnetization is 0.00 Bohr magnetons per cell. The uncorrected formation energy is -1.777 eV/atom.



No. 5
Entry from Alexandria via LeMat-Bulk: Cs3BAsP after structural relaxation (GGA-PBE).

The structure belongs to space group Cc (No. 9); the cell edges are 10.091, 9.962 and 10.043 Å and the angles 90.00°, 110.19° and 90.00°. The asymmetric unit holds Cs at (0.000, 0.052, 0.000), Cs at (0.204, 0.345, 0.726), Cs at (0.408, 0.053, 0.456), B at (0.197, 0.288, 0.233), As at (0.321, 0.286, 0.127) and P at (0.080, 0.283, 0.330).

The magnetization is 0.00 Bohr magnetons per cell. As for the formation energy: -2.34 eV/f.u.



No. 6
Entry from Alexandria via LeMat-Bulk: CsB2As2S6 after structural relaxation (GGA-PBE).

The structure belongs to space group P-1 (No. 2); the cell edges are 6.771, 7.358 and 7.771 Å and the angles 95.28°, 107.68° and 113.82°. The asymmetric unit holds Cs at (0.000, 0.000, 0.000), B at (0.105, 0.489, 0.720), As at (0.264, 0.872, 0.512), S at (0.139, 0.273, 0.617), S at (0.200, 0.599, 0.302) and S at (0.323, 0.751, 0.807).

The magnetization is 1.00 Bohr magnetons per cell. The uncorrected formation energy is -0.359 eV/atom.



No. 7
Entry from Alexandria via LeMat-Bulk: Cs2B2AsS6 after structural relaxation (GGA-PBE).

The structure belongs to space group C2/m (No. 12); the cell edges are 14.535, 6.361 and 8.197 Å and the angles 90.00°, 115.45° and 90.00°. The asymmetric unit holds Cs at (0.180, 0.000, 0.202), B at (0.011, 0.500, 0.313), As at (0.000, 0.000, 0.500), S at (0.068, 0.259, 0.737) and S at (0.139, 0.500, 0.348).

The magnetization is 0.00 Bohr magnetons per cell. The uncorrected formation energy is -0.477 eV/atom.



No. 8
Entry from Alexandria via LeMat-Bulk: CsBAs2Se after structural relaxation (GGA-PBE).

The structure belongs to space group P4/mmm (No. 123); the cell edges are 4.693, 4.693 and 5.169 Å and the angles 90.00°, 90.00° and 90.00°. The asymmetric unit holds Cs at (0.000, 0.000, 0.000), B at (0.500, 0.500, 0.500), As at (0.000, 0.500, 0.500) and Se at (0.500, 0.500, 0.000).

The magnetization is 0.00 Bohr magnetons per cell. The uncorrected formation energy is 0.597 eV/atom.